First-principles (PBE-GGA) data for a geometry-optimized Ac4Pr2Te3N2 structure, as listed in Alexandria via LeMat-Bulk.

Results
Its symmetry is I4/mmm. The calculation puts the total energy at -5.78 eV per atom. For the raw formation energy, the calculation gives -1.0482 eV/atom.

Unit cell a=14.232 b=14.232 c=14.232 alpha=159.92 beta=159.92 gamma=28.55
Positions (direct):
Ac  0.086  0.586  0.500
Ac  0.414  0.914  0.500
Ac  0.586  0.086  0.500
Ac  0.914  0.414  0.500
Pr  0.197  0.197  0.000
Pr  0.803  0.803  0.000
Te  0.320  0.320  0.000
Te  0.500  0.500  0.000
Te  0.680  0.680  0.000
N  0.112  0.112  0.000
N  0.888  0.888  0.000